[1]
The following is a DFT calculation (PBE) of crystalline TeAu2Cl8 at its relaxed geometry.

The value obtained for the distance to the lowest polymorph of the same formula is 122.4 meV per atom. The value obtained for the total energy is -2.452 eV/atom.

The structure in CIF format:
```
data_TeAu2Cl8
_chemical_formula_sum 'Te1 Au2 Cl8'
_cell_length_a 7.070
_cell_length_b 7.397
_cell_length_c 7.397
_cell_angle_alpha 68.13
_cell_angle_beta 80.94
_cell_angle_gamma 80.94
_space_group_name_H-M_alt 'P 1'
_space_group_IT_number 1
loop_
_space_group_symop_operation_xyz
'x,y,z'
loop_
_atom_site_label
_atom_site_fract_x
_atom_site_fract_y
_atom_site_fract_z
Au1 0.242 0.241 0.241
Cl1 0.254 0.828 0.828
Te1 0.000 0.000 0.000
Cl2 0.724 0.579 0.579
Cl3 0.210 0.898 0.294
Au2 0.758 0.759 0.759
Cl4 0.790 0.102 0.706
Cl5 0.746 0.172 0.172
Cl6 0.210 0.294 0.898
Cl7 0.790 0.706 0.102
Cl8 0.276 0.421 0.421
```

=====

[2]
The following is a DFT calculation (PBE) of crystalline Te3AuCl at its relaxed geometry.

The value obtained for the distance to the lowest polymorph of the same formula is 606.5 meV per atom. The value obtained for the total energy is -2.416 eV/atom.

The structure in CIF format:
```
data_Te3AuCl
_chemical_formula_sum 'Te3 Au1 Cl1'
_cell_length_a 5.460
_cell_length_b 5.460
_cell_length_c 5.460
_cell_angle_alpha 90.00
_cell_angle_beta 90.00
_cell_angle_gamma 90.00
_space_group_name_H-M_alt 'P 1'
_space_group_IT_number 1
loop_
_space_group_symop_operation_xyz
'x,y,z'
loop_
_atom_site_label
_atom_site_fract_x
_atom_site_fract_y
_atom_site_fract_z
Te1 0.000 0.500 0.000
Cl1 0.500 0.500 0.500
Au1 0.000 0.000 0.000
Te2 0.000 0.000 0.500
Te3 0.500 0.000 0.000
```

=====

[3]
The following is a DFT calculation (PBE) of crystalline TeAuCl2 at its relaxed geometry.

The value obtained for the distance to the lowest polymorph of the same formula is 346.9 meV per atom. The value obtained for the total energy is -2.413 eV/atom.

The structure in CIF format:
```
data_TeAuCl2
_chemical_formula_sum 'Te1 Au1 Cl2'
_cell_length_a 4.992
_cell_length_b 4.992
_cell_length_c 5.057
_cell_angle_alpha 67.68
_cell_angle_beta 67.68
_cell_angle_gamma 103.18
_space_group_name_H-M_alt 'P 1'
_space_group_IT_number 1
loop_
_space_group_symop_operation_xyz
'x,y,z'
loop_
_atom_site_label
_atom_site_fract_x
_atom_site_fract_y
_atom_site_fract_z
Cl1 0.000 0.000 0.000
Te1 0.500 0.000 0.500
Au1 0.000 0.500 0.500
Cl2 0.500 0.500 0.000
```

=====

[4]
The following is a DFT calculation (PBE) of crystalline TeAuCl2 at its relaxed geometry.

The value obtained for the distance to the lowest polymorph of the same formula is 251.0 meV per atom. The value obtained for the total energy is -2.509 eV/atom.

The structure in CIF format:
```
data_TeAuCl2
_chemical_formula_sum 'Te1 Au1 Cl2'
_cell_length_a 7.918
_cell_length_b 7.918
_cell_length_c 4.743
_cell_angle_alpha 72.70
_cell_angle_beta 72.70
_cell_angle_gamma 24.27
_space_group_name_H-M_alt 'P 1'
_space_group_IT_number 1
loop_
_space_group_symop_operation_xyz
'x,y,z'
loop_
_atom_site_label
_atom_site_fract_x
_atom_site_fract_y
_atom_site_fract_z
Te1 0.750 0.750 0.750
Cl1 0.096 0.096 0.904
Cl2 0.404 0.404 0.596
Au1 0.250 0.250 0.250
```

=====

[5]
The following is a DFT calculation (PBE) of crystalline TeAu2Cl at its relaxed geometry.

The value obtained for the distance to the lowest polymorph of the same formula is 275.7 meV per atom. The value obtained for the total energy is -2.674 eV/atom.

The structure in CIF format:
```
data_TeAu2Cl
_chemical_formula_sum 'Te1 Au2 Cl1'
_cell_length_a 6.353
_cell_length_b 2.953
_cell_length_c 5.742
_cell_angle_alpha 62.35
_cell_angle_beta 90.00
_cell_angle_gamma 90.00
_space_group_name_H-M_alt 'P 1'
_space_group_IT_number 1
loop_
_space_group_symop_operation_xyz
'x,y,z'
loop_
_atom_site_label
_atom_site_fract_x
_atom_site_fract_y
_atom_site_fract_z
Te1 0.500 0.750 0.750
Au1 0.000 0.742 0.000
Cl1 0.500 0.250 0.250
Au2 0.000 0.758 0.500
```

=====

[6]
The following is a DFT calculation (PBE) of crystalline TeAuCl2 at its relaxed geometry.

The value obtained for the distance to the lowest polymorph of the same formula is 617.1 meV per atom. The value obtained for the total energy is -2.143 eV/atom.

The structure in CIF format:
```
data_TeAuCl2
_chemical_formula_sum 'Te1 Au1 Cl2'
_cell_length_a 3.221
_cell_length_b 4.411
_cell_length_c 6.270
_cell_angle_alpha 90.00
_cell_angle_beta 90.00
_cell_angle_gamma 90.00
_space_group_name_H-M_alt 'P 1'
_space_group_IT_number 1
loop_
_space_group_symop_operation_xyz
'x,y,z'
loop_
_atom_site_label
_atom_site_fract_x
_atom_site_fract_y
_atom_site_fract_z
Cl1 0.000 0.000 0.001
Cl2 0.000 0.000 0.499
Au1 0.500 0.500 0.750
Te1 0.500 0.500 0.250
```